(a)
DyYAu: optimized geometry, PBE-GGA.

Space group = P2_1/m
Magnetization = 0.000 Bohr magnetons per cell

Unit cell a=7.336 b=4.930 c=13.379 alpha=90.00 beta=92.40 gamma=90.00
Fractional coordinates of all 18 atoms:
Dy 0.039 0.250 0.086
Dy 0.139 0.250 0.454
Dy 0.339 0.750 0.782
Dy 0.661 0.250 0.218
Dy 0.861 0.750 0.546
Dy 0.961 0.750 0.914
Y 0.004 0.750 0.282
Y 0.379 0.750 0.083
Y 0.480 0.750 0.376
Y 0.520 0.250 0.624
Y 0.621 0.250 0.917
Y 0.996 0.250 0.718
Au 0.227 0.250 0.903
Au 0.260 0.750 0.565
Au 0.281 0.250 0.256
Au 0.719 0.750 0.744
Au 0.740 0.250 0.435
Au 0.773 0.750 0.097

---

(b)
DyYAu: optimized geometry, PBE-GGA.

Space group = F-43m
Magnetization = 0.000 Bohr magnetons per cell

Unit cell a=4.978 b=4.978 c=4.978 alpha=60.00 beta=60.00 gamma=60.00
Fractional coordinates of all 3 atoms:
Dy 0.000 0.000 0.000
Y 0.500 0.500 0.500
Au 0.250 0.250 0.250

---

(c)
DyYAu: optimized geometry, PBE-GGA.

Space group = C2/m
Magnetization = 0.000 Bohr magnetons per cell

Unit cell a=6.815 b=6.815 c=5.573 alpha=95.33 beta=95.33 gamma=40.12
Fractional coordinates of all 6 atoms:
Dy 0.089 0.089 0.270
Dy 0.911 0.911 0.730
Y 0.367 0.367 0.200
Y 0.633 0.633 0.800
Au 0.266 0.266 0.678
Au 0.734 0.734 0.322

---

(d)
DyYAu: optimized geometry, PBE-GGA.

Space group = I4mm
Magnetization = 0.911 Bohr magnetons per cell

Unit cell a=6.668 b=6.668 c=6.668 alpha=148.65 beta=148.65 gamma=44.93
Fractional coordinates of all 3 atoms:
Dy 0.000 0.000 0.000
Y 0.289 0.289 0.000
Au 0.642 0.642 0.000

---

The computed energies, referenced to the most stable structure and given in eV/atom, are (a) 0.000; (b) 0.169; (c) 0.100; (d) 0.075.